1.
Computed, not measured: a relaxed structure of Nd3BCl3 at the PBE level of DFT.

Calculated values
For the density, the calculation gives 4.95 g/cm3. The calculation puts the total magnetic moment at 0.00 Bohr magnetons per cell. For the uncorrected formation energy, the calculation gives -1.47 eV/atom.

Cell: 11.3857 11.3857 11.3857 Å, 90.00 90.00 90.00°
With the nearest neighbours (Å) after each atom.
Space group I4_132 (No. 214)
Symmetry-distinct sites (fractional):
1 Nd 0.1115 0.3615 0.1250 [24 per cell]  2 B 2.70, 4 Cl 2.90-3.01
2 B 0.1250 0.1250 0.1250 [8 per cell]  6 Nd 2.70
3 Cl 0.1212 0.1288 0.6250 [24 per cell]  4 Nd 2.90-3.01

---

2.
Computed, not measured: a relaxed structure of Pm7Ho12Sc at the PBE level of DFT.

Calculated values
For the density, the calculation gives 7.09 g/cm3. The calculation puts the distance to the lowest polymorph of the same formula at 452 meV/atom. The value obtained for the formation energy is 0.689 eV per atom. The calculation puts the total magnetic moment at 0.03 Bohr magnetons per cell.

Cell: 11.2469 11.2469 11.2469 Å, 90.00 90.00 90.00°
With the nearest neighbours (Å) after each atom.
Space group Im-3m (No. 229)
Symmetry-distinct sites (fractional):
1 Pm 0.0000 0.0000 0.5000 [6 per cell]  12 Ho 3.98-4.10
2 Pm 0.2500 0.2500 0.2500 [8 per cell]  6 Ho 2.81
3 Ho 0.0000 0.2422 0.2422 [24 per cell]  2 Pm 2.81
4 Sc 0.0000 0.0000 0.0000 [2 per cell]  12 Ho 3.85

---

3.
Computed, not measured: a relaxed structure of KHoAgO2 at the PBE level of DFT.

Calculated values
For the density, the calculation gives 4.74 g/cm3. The calculation puts the total magnetic moment at 0.00 Bohr magnetons per cell. For the uncorrected formation energy, the calculation gives -1.69 eV/atom.

Cell: 6.7032 5.5910 6.4531 Å, 90.00 94.62 90.00°
With the nearest neighbours (Å) after each atom.
Space group P2/c (No. 13)
Symmetry-distinct sites (fractional):
1 K 0.0000 0.1823 0.2500 [2 per cell]  4 O 2.74-2.95
2 Ho 0.5000 0.0181 0.7500 [2 per cell]  4 O 2.18-2.20
3 Ag 0.5000 0.5000 0.0000 [2 per cell]  2 O 2.54
4 O 0.3004 0.1133 0.9917 [4 per cell]  2 Ho 2.18-2.20